Here is a relaxed structure of La2AlMoO6 from Alexandria. Energies are from GGA+U.

Output
Final energy (eV per atom): -7.881
Symmetry: Pmmn, No. 59
Magnetic moment (μB per formula unit): 3.00
Calculated density (g/cm³): 6.6

a = 5.5486 Å, b = 5.6557 Å, c = 7.9316 Å
α = 90.00°, β = 90.00°, γ = 90.00°
Last column: magnetic moment on the atom in μB.
Element x y z (fractional)
1 La 0.5000 0.7508 0.2412  0.04
2 La 0.0000 0.2492 0.7412  0.04
3 La 0.5000 0.7508 0.7588  0.04
4 La 0.0000 0.2492 0.2588  0.04
5 Al 0.5000 0.2499 0.5000  -0.01
6 Al 0.0000 0.7501 0.0000  -0.01
7 Mo 0.0000 0.7496 0.5000  2.54
8 Mo 0.5000 0.2504 0.0000  2.54
9 O 0.5000 0.2489 0.2628  0.03
10 O 0.5000 0.2489 0.7372  0.03
11 O 0.0000 0.7511 0.2372  0.03
12 O 0.0000 0.7511 0.7628  0.03
13 O 0.2576 0.0177 0.5000  0.03
14 O 0.7424 0.0177 0.5000  0.03
15 O 0.2576 0.4816 0.5000  0.03
16 O 0.7424 0.4816 0.5000  0.03
17 O 0.7576 0.5184 0.0000  0.03
18 O 0.2424 0.5184 0.0000  0.03
19 O 0.2424 0.9823 0.0000  0.03
20 O 0.7576 0.9823 0.0000  0.03